The following is a PBE calculation of a geometry-optimized VCoRe2 structure, from the Alexandria database.

Values from the calculation:
Crystal system = cubic
Total magnetic moment = 2.5 μB per formula unit
ΔH_f (0 K) = 0.07 eV/atom

abc: 4.252 4.252 4.252
angles: 60.00 60.00 60.00
Site moments in Bohr magnetons follow the coordinates.
Atoms (fractional coordinates):
Re  0.250  0.250  0.250  0.39
Re  0.750  0.750  0.750  0.39
Co  0.500  0.500  0.500  1.55
V  0.000  0.000  0.000  0.09